Here is a relaxed structure of CeAl2TeO8 from the Alexandria database. Energies are from PBE.

The value obtained for the uncorrected formation energy is -2275.1 meV per atom. As for the symmetry: Cmmm, No. 65. For the density, the calculation gives 5.5 g cm⁻³. The value obtained for the total energy is -6.96 eV per atom.

abc: 4.581 4.580 6.515
angles: 90.00 90.00 88.81
Fractional coordinates of all 12 atoms:
Al1 0.500 0.500 0.756
O1 0.793 0.208 0.782
O2 0.326 0.325 0.500
O3 0.207 0.792 0.782
O4 0.793 0.208 0.218
Te1 0.000 0.000 0.000
O5 0.699 0.700 0.000
O6 0.301 0.300 0.000
Ce1 0.000 0.000 0.500
Al2 0.500 0.500 0.244
O7 0.207 0.792 0.218
O8 0.674 0.675 0.500